A relaxed PrInGa2Ni5 crystal. Source: Alexandria, functional PBE.

- Space-group type: P4/mmm
- Crystal system: tetragonal
- M_tot: 0.00 μB/f.u.
- ΔH_f (0 K): -0.06 eV per atom
- Density of states at the Fermi level: 0.6911 states/eV/atom
- Raw total energy: -4.779 eV/atom

Cell lengths 4.4386, 4.4386, 7.3777 Å; angles 90.00, 90.00, 90.00 degrees
Sites, in units of the cell vectors:
Pr1 0.0000 0.0000 0.5000
In1 0.0000 0.0000 0.0000
Ga1 0.5000 0.5000 0.1692
Ga2 0.5000 0.5000 0.8308
Ni1 0.0000 0.5000 0.2546
Ni2 0.5000 0.0000 0.2546
Ni3 0.0000 0.5000 0.7454
Ni4 0.5000 0.0000 0.7454
Ni5 0.5000 0.5000 0.5000

***

A relaxed V2Co4Ni crystal. Source: Alexandria, functional PBE.

- Space-group type: Cc
- Crystal system: monoclinic
- M_tot: 2.20 μB/f.u.
- ΔH_f (0 K): 0.06 eV per atom
- Density of states at the Fermi level: 1.3790 states/eV/atom
- Polymorph energy (0 for the lowest one): 0.0 kJ per mole of atoms
- Raw total energy: -7.429 eV/atom

Cell lengths 6.6290, 6.6302, 6.0592 Å; angles 135.54, 94.40, 106.12 degrees
Each line ends with the local moment (μB).
Sites, in units of the cell vectors:
V1 0.6004 0.5012 0.8508  -0.23
V2 0.5995 0.0003 0.3508  -0.23
V3 0.6809 0.4048 0.2930  -0.50
V4 0.1384 0.3620 0.7926  -0.50
Co1 0.8810 0.0386 0.1663  0.66
Co2 0.4292 0.5512 0.2558  0.42
Co3 0.9544 0.5765 0.7558  0.41
Co4 0.7562 0.0822 0.7900  0.82
Co5 0.2866 0.1352 0.3069  0.83
Co6 0.3774 0.0350 0.6662  0.67
Co7 0.4223 0.7711 0.8076  0.82
Co8 0.9581 0.7834 0.2898  0.84
Ni1 0.0856 0.5069 0.3374  0.33
Ni2 0.0800 0.0016 0.8371  0.32

***

A relaxed Li3Pm2Hg4 crystal. Source: Alexandria, functional PBE.

- Space-group type: P-1
- Crystal system: triclinic
- M_tot: 0.00 μB/f.u.
- ΔH_f (0 K): -0.38 eV per atom
- Density of states at the Fermi level: 0.4288 states/eV/atom
- Polymorph energy (0 for the lowest one): 0.0 kJ per mole of atoms
- Raw total energy: -2.209 eV/atom

Cell lengths 5.0013, 5.1865, 9.1680 Å; angles 80.89, 89.93, 61.19 degrees
Sites, in units of the cell vectors:
Li1 0.3662 0.2656 0.4247
Li2 0.0000 0.0000 0.0000
Li3 0.6338 0.7344 0.5753
Pm1 0.2985 0.4043 0.7668
Pm2 0.7015 0.5957 0.2332
Hg1 0.6447 0.7116 0.8889
Hg2 0.0549 0.8883 0.3604
Hg3 0.9451 0.1117 0.6396
Hg4 0.3553 0.2884 0.1111

***

A relaxed Ni2IrBr crystal. Source: Alexandria, functional PBE.

- Space-group type: Pmmm
- Crystal system: orthorhombic
- M_tot: 0.00 μB/f.u.
- Density of states at the Fermi level: 1.5153 states/eV/atom
- Polymorph energy (0 for the lowest one): 0.0 kJ per mole of atoms
- Formation energy from raw total energies: 0.366 eV/atom
- Raw total energy: -5.158 eV/atom

Cell lengths 2.8258, 3.4215, 6.7358 Å; angles 90.00, 90.00, 90.00 degrees
Sites, in units of the cell vectors:
Br1 0.5000 0.2500 0.2500
Ir1 0.5000 0.7500 0.7500
Ni1 0.0000 0.2500 0.9354
Ni2 0.0000 0.2500 0.5646

***

A relaxed La2ScCdH crystal. Source: Alexandria, functional PBE.

- Space-group type: P4/mmm
- Crystal system: tetragonal
- M_tot: 0.00 μB/f.u.
- Density of states at the Fermi level: 1.5454 states/eV/atom
- Polymorph energy (0 for the lowest one): 0.0 kJ per mole of atoms
- Raw total energy: -4.305 eV/atom

Cell lengths 4.9752, 4.9752, 4.8414 Å; angles 90.00, 90.00, 90.00 degrees
Sites, in units of the cell vectors:
Sc1 0.0000 0.0000 0.5000
H1 0.0000 0.0000 0.0000
Cd1 0.5000 0.5000 0.5000
La1 0.0000 0.5000 0.0000
La2 0.5000 0.0000 0.0000

***

A relaxed LiY5Zn4 crystal. Source: Alexandria, functional PBE.

- Space-group type: P4/mmm
- Crystal system: tetragonal
- M_tot: 0.00 μB/f.u.
- ΔH_f (0 K): -0.27 eV per atom
- Density of states at the Fermi level: 1.1965 states/eV/atom
- Raw total energy: -4.206 eV/atom

Cell lengths 3.6042, 3.6042, 18.0652 Å; angles 90.00, 90.00, 90.00 degrees
Sites, in units of the cell vectors:
Li1 0.0000 0.0000 0.0000
Y1 0.5000 0.5000 0.1102
Y2 0.5000 0.5000 0.3036
Y3 0.5000 0.5000 0.5000
Y4 0.5000 0.5000 0.6964
Y5 0.5000 0.5000 0.8898
Zn1 0.0000 0.0000 0.2036
Zn2 0.0000 0.0000 0.4013
Zn3 0.0000 0.0000 0.5987
Zn4 0.0000 0.0000 0.7964

***

A relaxed BaIn2Rh2 crystal. Source: Alexandria, functional PBE.

- Space-group type: P4/mbm
- Crystal system: tetragonal
- M_tot: 0.00 μB/f.u.
- ΔH_f (0 K): -0.32 eV per atom
- Density of states at the Fermi level: 0.3593 states/eV/atom
- Raw total energy: -4.737 eV/atom

Cell lengths 8.2051, 8.2051, 3.1842 Å; angles 90.00, 90.00, 90.00 degrees
Sites, in units of the cell vectors:
Rh1 0.3425 0.8425 0.0000
Rh2 0.8425 0.6575 0.0000
Rh3 0.6575 0.1575 0.0000
Rh4 0.1575 0.3425 0.0000
Ba1 0.0000 0.0000 0.0000
Ba2 0.5000 0.5000 0.0000
In1 0.1338 0.6338 0.5000
In2 0.6338 0.8662 0.5000
In3 0.8662 0.3662 0.5000
In4 0.3662 0.1338 0.5000

***

A relaxed Ca2ZnRu2 crystal. Source: Alexandria, functional PBE.

- Space-group type: P4/mbm
- Crystal system: tetragonal
- M_tot: 0.37 μB/f.u.
- ΔH_f (0 K): 0.06 eV per atom
- Density of states at the Fermi level: 0.8327 states/eV/atom
- Raw total energy: -4.710 eV/atom

Cell lengths 6.6419, 6.6419, 4.6569 Å; angles 90.00, 90.00, 90.00 degrees
Each line ends with the local moment (μB).
Sites, in units of the cell vectors:
Ru1 0.3735 0.8735 0.0000  0.17
Ru2 0.8735 0.6265 0.0000  0.17
Ru3 0.6265 0.1265 0.0000  0.17
Ru4 0.1265 0.3735 0.0000  0.17
Zn1 0.0000 0.0000 0.0000  0.00
Zn2 0.5000 0.5000 0.0000  0.00
Ca1 0.1759 0.6759 0.5000  0.00
Ca2 0.6759 0.8241 0.5000  0.00
Ca3 0.8241 0.3241 0.5000  0.00
Ca4 0.3241 0.1759 0.5000  0.00

***

A relaxed YAgHg2 crystal. Source: Alexandria, functional PBE.

- Space-group type: Fm-3m
- Crystal system: cubic
- M_tot: 0.00 μB/f.u.
- ΔH_f (0 K): -0.34 eV per atom
- Density of states at the Fermi level: 0.4733 states/eV/atom
- Raw total energy: -2.822 eV/atom

Cell lengths 5.0218, 5.0218, 5.0218 Å; angles 60.00, 60.00, 60.00 degrees
Sites, in units of the cell vectors:
Y1 0.0000 0.0000 0.0000
Hg1 0.2500 0.2500 0.2500
Hg2 0.7500 0.7500 0.7500
Ag1 0.5000 0.5000 0.5000

***

A relaxed Li2MgAs crystal. Source: Alexandria, functional PBE.

- Space-group type: Imm2
- Crystal system: orthorhombic
- M_tot: 0.00 μB/f.u.
- ΔH_f (0 K): -0.50 eV per atom
- Density of states at the Fermi level: 0.1770 states/eV/atom
- Polymorph energy (0 for the lowest one): 3.4 kJ per mole of atoms
- Raw total energy: -3.018 eV/atom

Cell lengths 4.1796, 4.1091, 15.5306 Å; angles 90.00, 90.00, 90.00 degrees
Sites, in units of the cell vectors:
Li1 0.0000 0.0000 0.1768
Li2 0.5000 0.5000 0.6768
Li3 0.0000 0.5000 0.5643
Li4 0.5000 0.0000 0.0643
Li5 0.0000 0.0000 0.4491
Li6 0.5000 0.5000 0.9491
Li7 0.0000 0.0000 0.6762
Li8 0.5000 0.5000 0.1762
Mg1 0.0000 0.0000 0.9450
Mg2 0.5000 0.5000 0.4450
Mg3 0.0000 0.5000 0.3108
Mg4 0.5000 0.0000 0.8108
As1 0.0000 0.5000 0.7896
As2 0.5000 0.0000 0.2896
As3 0.0000 0.5000 0.0690
As4 0.5000 0.0000 0.5690

***

A relaxed AcLaNiPd crystal. Source: Alexandria, functional PBE.

- Space-group type: Amm2
- Crystal system: orthorhombic
- M_tot: 0.00 μB/f.u.
- ΔH_f (0 K): -0.54 eV per atom
- Density of states at the Fermi level: 0.6423 states/eV/atom
- Polymorph energy (0 for the lowest one): 0.0 kJ per mole of atoms
- Raw total energy: -5.540 eV/atom

Cell lengths 4.0501, 4.5359, 5.9933 Å; angles 90.00, 109.75, 90.00 degrees
Sites, in units of the cell vectors:
Ac1 0.1387 0.0000 0.2773
La1 0.8681 0.5000 0.7361
Ni1 0.4160 0.0000 0.8320
Pd1 0.5773 0.5000 0.1546

***

A relaxed Fe4CoBr crystal. Source: Alexandria, functional PBE.

- Space-group type: F-43m
- Crystal system: cubic
- M_tot: 12.48 μB/f.u.
- Density of states at the Fermi level: 1.0353 states/eV/atom
- Formation energy from raw total energies: 0.670 eV/atom
- Raw total energy: -6.435 eV/atom

Cell lengths 4.9117, 4.9117, 4.9117 Å; angles 60.00, 60.00, 60.00 degrees
Each line ends with the local moment (μB).
Sites, in units of the cell vectors:
Fe1 0.8785 0.3738 0.3738  2.67
Fe2 0.3738 0.3738 0.8785  2.67
Fe3 0.3738 0.8785 0.3738  2.67
Fe4 0.3738 0.3738 0.3738  2.67
Co1 0.0000 0.0000 0.0000  1.81
Br1 0.7500 0.7500 0.7500  0.12